## ErLu2 (GGA-PBE)

Data for crystalline ErLu2 at its relaxed geometry.

The structure in CIF format:
```
data_ErLu2
_chemical_formula_sum 'Er2 Lu4'
_space_group_name_H-M_alt 'P 1'
_space_group_IT_number 1
_cell_length_a 10.0325
_cell_length_b 10.0325
_cell_length_c 10.0325
_cell_angle_alpha 60.00
_cell_angle_beta 60.00
_cell_angle_gamma 60.00
loop_
_space_group_symop_operation_xyz
'x,y,z'
loop_
_atom_site_label
_atom_site_type_symbol
_atom_site_fract_x
_atom_site_fract_y
_atom_site_fract_z
_atom_site_occupancy
Er1 Er 0.1250 0.1250 0.1250 1
Er2 Er 0.8750 0.8750 0.8750 1
Lu1 Lu 0.0000 0.0000 0.0000 1
Lu2 Lu 0.0000 0.0000 0.5000 1
Lu3 Lu 0.0000 0.5000 0.0000 1
Lu4 Lu 0.5000 0.0000 0.0000 1
```

Values from the calculation:
The crystal system is cubic. The energy of formation comes out at 7.6 eV per formula unit. The polymorph energy (0 for the lowest one) is 219.4 kJ/mol of atoms. For the total magnetization, the calculation gives 1.655 μB/atom.